Record 1
Material: K3Ce2CdS6
Method: DFT, PBE
State: optimized geometry Values from VASP.

Summary:
As for the final energy: -4.903 eV/atom.

The structure in Quantum ESPRESSO input format:
```
&SYSTEM
  ibrav = 0, nat = 12, ntyp = 4
/
ATOMIC_SPECIES
K 39.10 K.upf
Ce 140.12 Ce.upf
Cd 112.41 Cd.upf
S 32.06 S.upf
ATOMIC_POSITIONS crystal
K 0.0000 0.0000 0.0000
K 0.3368 0.6632 0.0000
K 0.6632 0.3368 0.0000
Ce 0.1670 0.8330 0.5000
Ce 0.8330 0.1670 0.5000
Cd 0.5000 0.5000 0.5000
S 0.0943 0.4317 0.2950
S 0.2306 0.2306 0.7038
S 0.4317 0.0943 0.2950
S 0.5683 0.9057 0.7050
S 0.7694 0.7694 0.2962
S 0.9057 0.5683 0.7050
CELL_PARAMETERS angstrom
3.5666 -6.1741 0.0000
3.5666 6.1741 0.0000
-2.3677 0.0000 7.3620
```

***

Record 2
Material: Li2AcPd6
Method: DFT, PBE
State: optimized geometry Values from VASP.

Summary:
As for the final energy: -4.729 eV/atom. Its formation energy is -0.3850 eV/atom.

The structure in Quantum ESPRESSO input format:
```
&SYSTEM
  ibrav = 0, nat = 9, ntyp = 3
/
ATOMIC_SPECIES
Li 6.94 Li.upf
Ac 227.00 Ac.upf
Pd 106.42 Pd.upf
ATOMIC_POSITIONS crystal
Li 0.3333 0.6667 0.0000
Li 0.6667 0.3333 0.0000
Ac 0.0000 0.0000 0.5000
Pd 0.0000 0.3370 0.2324
Pd 0.0000 0.6630 0.7676
Pd 0.3370 0.0000 0.2324
Pd 0.3370 0.3370 0.7676
Pd 0.6630 0.0000 0.7676
Pd 0.6630 0.6630 0.2324
CELL_PARAMETERS angstrom
4.7246 0.0000 0.0000
-2.3623 4.0916 0.0000
0.0000 0.0000 9.2626
```